An optimized crystal structure of NaNbNi2Pd, computed with PBE-GGA.

The magnetization comes out at 0.543 μB/atom. For the density of states at the Fermi level, the calculation gives 9.58 states/eV/cell. Its energy of formation is 1083 meV/atom. Its total energy is -4.546 eV per atom.

abc: 4.765 4.760 4.765
angles: 90.00 90.00 90.00
Last column: magnetic moment on the atom in μB.
Positions (direct):
Na 0.500 0.500 0.500  0.01
Ni 0.000 0.000 0.500  0.62
Ni 0.500 0.000 0.000  0.58
Pd 0.000 0.000 0.000  0.07
Nb 0.000 0.500 0.000  1.19